No. 1
Computed, not measured: a geometry-optimized Dy3Tm2Ag2 structure at the PBE level of DFT.

Computed properties:
The energy above the lowest structure with this stoichiometry comes out at 0 meV per atom. As for the formation energy from the elements: -1.14 eV per formula unit.

Cell and atoms, written as CIF:
```
data_Dy3Tm2Ag2
_space_group_name_H-M_alt 'I 4/m m m'
_space_group_IT_number 139
_space_group_name_Hall '-I 4 2'
_cell_length_a 3.5768
_cell_length_b 3.5768
_cell_length_c 29.4738
_cell_angle_alpha 90.00
_cell_angle_beta 90.00
_cell_angle_gamma 90.00
loop_
_atom_site_label
_atom_site_type_symbol
_atom_site_fract_x
_atom_site_fract_y
_atom_site_fract_z
Dy1 Dy 0.0000 0.0000 0.0000
Dy2 Dy 0.0000 0.0000 0.1259
Tm1 Tm 0.0000 0.0000 0.2903
Ag1 Ag 0.0000 0.0000 0.4373
```


No. 2
Computed, not measured: a geometry-optimized Ta2HNCl structure at the PBE level of DFT.

Computed properties:
The total energy is -6.449 eV/atom.

Cell and atoms, written as CIF:
```
data_Ta2HNCl
_space_group_name_H-M_alt 'P 4/m m m'
_space_group_IT_number 123
_space_group_name_Hall '-P 4 2'
_cell_length_a 4.0367
_cell_length_b 4.0367
_cell_length_c 3.6676
_cell_angle_alpha 90.00
_cell_angle_beta 90.00
_cell_angle_gamma 90.00
loop_
_atom_site_label
_atom_site_type_symbol
_atom_site_fract_x
_atom_site_fract_y
_atom_site_fract_z
Ta1 Ta 0.0000 0.5000 0.0000
H1 H 0.0000 0.0000 0.0000
N1 N 0.5000 0.5000 0.5000
Cl1 Cl 0.0000 0.0000 0.5000
```


No. 3
Computed, not measured: a geometry-optimized PmTl2AgSb2 structure at the PBE level of DFT.

Computed properties:
The formation energy without anion corrections is -0.38 eV/atom.

Cell and atoms, written as CIF:
```
data_PmTl2AgSb2
_space_group_name_H-M_alt 'P m c 21'
_space_group_IT_number 26
_cell_length_a 4.7447
_cell_length_b 10.2281
_cell_length_c 7.5318
_cell_angle_alpha 90.00
_cell_angle_beta 90.00
_cell_angle_gamma 90.00
loop_
_space_group_symop_operation_xyz
'x,y,z'
'-x,-y,z+1/2'
'-x,y,z'
'x,-y,z+1/2'
loop_
_atom_site_label
_atom_site_type_symbol
_atom_site_fract_x
_atom_site_fract_y
_atom_site_fract_z
Pm1 Pm 0.0000 0.0345 0.0000
Tl1 Tl 0.0000 0.3632 0.3481
Tl2 Tl 0.5000 0.3799 0.0073
Ag1 Ag 0.5000 0.1493 0.6664
Sb1 Sb 0.0000 0.2828 0.7527
Sb2 Sb 0.5000 0.1189 0.2753
```


No. 4
Computed, not measured: a geometry-optimized Er2TiAl2Ni5 structure at the PBE level of DFT.

Computed properties:
As for the formation energy from the elements: -4.27 eV per formula unit.

Cell and atoms, written as CIF:
```
data_Er2TiAl2Ni5
_space_group_name_H-M_alt 'P 4/m b m'
_space_group_IT_number 127
_space_group_name_Hall '-P 4 2ab'
_cell_length_a 9.7693
_cell_length_b 9.7693
_cell_length_c 3.2284
_cell_angle_alpha 90.00
_cell_angle_beta 90.00
_cell_angle_gamma 90.00
loop_
_atom_site_label
_atom_site_type_symbol
_atom_site_fract_x
_atom_site_fract_y
_atom_site_fract_z
Er1 Er 0.1744 0.3256 0.0000
Ti1 Ti 0.0000 0.0000 0.0000
Al1 Al 0.1253 0.6253 0.0000
Ni1 Ni 0.0000 0.5000 0.5000
Ni2 Ni 0.0510 0.8023 0.5000
```


No. 5
Computed, not measured: a geometry-optimized ScCr2 structure at the PBE level of DFT.

Computed properties:
As for the formation energy from the elements: 1.72 eV per formula unit.

Cell and atoms, written as CIF:
```
data_ScCr2
_space_group_name_H-M_alt 'I 41/a m d'
_space_group_IT_number 141
_cell_length_a 3.8484
_cell_length_b 3.8484
_cell_length_c 13.3090
_cell_angle_alpha 90.00
_cell_angle_beta 90.00
_cell_angle_gamma 90.00
loop_
_space_group_symop_operation_xyz
'x,y,z'
'-x,-y,-z'
'-y+1/4,x+3/4,z+1/4'
'y+1/4,-x+3/4,-z+1/4'
'-x+1/2,-y,z+1/2'
'x+1/2,y,-z+1/2'
'y+1/4,-x+1/4,z+3/4'
'-y+1/4,x+1/4,-z+3/4'
'x,-y,-z'
'-x,y,z'
'-y+1/4,-x+1/4,-z+3/4'
'y+1/4,x+1/4,z+3/4'
'-x+1/2,y,-z+1/2'
'x+1/2,-y,z+1/2'
'y+1/4,x+3/4,-z+1/4'
'-y+1/4,-x+3/4,z+1/4'
'x+1/2,y+1/2,z+1/2'
'-x+1/2,-y+1/2,-z+1/2'
'-y+3/4,x+1/4,z+3/4'
'y+3/4,-x+1/4,-z+3/4'
'-x,-y+1/2,z'
'x,y+1/2,-z'
'y+3/4,-x+3/4,z+1/4'
'-y+3/4,x+3/4,-z+1/4'
'x+1/2,-y+1/2,-z+1/2'
'-x+1/2,y+1/2,z+1/2'
'-y+3/4,-x+3/4,-z+1/4'
'y+3/4,x+3/4,z+1/4'
'-x,y+1/2,-z'
'x,-y+1/2,z'
'y+3/4,x+1/4,-z+3/4'
'-y+3/4,-x+1/4,z+3/4'
loop_
_atom_site_label
_atom_site_type_symbol
_atom_site_fract_x
_atom_site_fract_y
_atom_site_fract_z
Sc1 Sc 0.0000 0.2500 0.3750
Cr1 Cr 0.0000 0.2500 0.7968
```


No. 6
Computed, not measured: a geometry-optimized ZnGa2CoSn structure at the PBE level of DFT.

Computed properties:
The energy above the lowest structure with this stoichiometry comes out at 851 meV per atom. As for the formation energy from the elements: 4.42 eV per formula unit.

Cell and atoms, written as CIF:
```
data_ZnGa2CoSn
_space_group_name_H-M_alt 'P 4/m m m'
_space_group_IT_number 123
_space_group_name_Hall '-P 4 2'
_cell_length_a 5.3422
_cell_length_b 5.3422
_cell_length_c 4.8387
_cell_angle_alpha 90.00
_cell_angle_beta 90.00
_cell_angle_gamma 90.00
loop_
_atom_site_label
_atom_site_type_symbol
_atom_site_fract_x
_atom_site_fract_y
_atom_site_fract_z
Zn1 Zn 0.0000 0.0000 0.0000
Ga1 Ga 0.0000 0.5000 0.5000
Co1 Co 0.5000 0.5000 0.0000
Sn1 Sn 0.5000 0.5000 0.5000
```